GdHoAs | PBE-GGA | relaxed

Calculated values
The space group is No. 156. For the raw total energy, the calculation gives -25.9 eV/f.u. The formation energy comes out at -0.874 eV per atom. The density is 7.51 g/cm3.

Cell: 3.956 3.956 6.479 Å, 90.00 90.00 120.00°
Atoms (fractional coordinates):
Gd1 0.000 0.000 0.000
Ho1 0.667 0.333 0.474
As1 0.333 0.667 0.733